(1)
Compound: PrZn4Ag12
Source: the Alexandria database
Functional: PBE
Structure: optimized geometry

ΔE_f (kJ/mol of formula units): 372
Space group: Im-3 (204)

Cell and atoms, written as POSCAR:
```
PrZn4Ag12
1.0
-4.313 -4.449 4.676
2.001 -4.056 -6.309
6.404 2.261 3.761
Ag Zn Pr
12 4 1
Direct
0.189 0.843 0.346
0.654 0.811 0.157
0.346 0.502 0.157
0.498 0.843 0.654
0.502 0.157 0.346
0.346 0.189 0.843
0.811 0.157 0.654
0.157 0.346 0.502
0.654 0.498 0.843
0.157 0.654 0.811
0.843 0.346 0.189
0.843 0.654 0.498
0.000 0.000 0.500
0.000 0.500 0.000
0.500 0.500 0.500
0.500 0.000 0.000
0.000 0.000 0.000
```

=====

(2)
Compound: LiZr2Os
Source: the Alexandria database
Functional: PBE
Structure: optimized geometry

Offset from the most stable computed form (meV per atom): 349
ΔE_f (kJ/mol of formula units): 12
Space group: I-4m2 (119)

Cell and atoms, written as POSCAR:
```
LiZr2Os
1.0
5.394 -0.002 0.000
2.499 4.780 0.000
-3.946 -2.389 2.795
Li Zr Os
1 2 1
Direct
0.500 0.500 0.000
0.250 0.750 0.500
0.000 0.000 0.000
0.750 0.250 0.500
```

=====

(3)
Compound: TbPdRhAu
Source: the Alexandria database
Functional: PBE
Structure: optimized geometry

Offset from the most stable computed form (meV per atom): 0
ΔE_f (kJ/mol of formula units): -284
Space group: Pmmm (47)

Cell and atoms, written as POSCAR:
```
TbPdRhAu
1.0
4.223 0.000 0.000
0.000 3.941 0.000
0.000 0.000 4.304
Tb Au Pd Rh
1 1 1 1
Direct
0.500 0.000 0.500
0.000 0.000 0.000
0.500 0.500 0.000
0.000 0.500 0.500
```

=====

(4)
Compound: LaNd2Gd
Source: the Alexandria database
Functional: PBE
Structure: optimized geometry

Offset from the most stable computed form (meV per atom): 103
ΔE_f (kJ/mol of formula units): 44
Space group: Fm-3m (225)

Cell and atoms, written as POSCAR:
```
LaNd2Gd
1.0
-3.175 -3.320 -3.621
2.580 -4.232 -3.106
-1.006 -5.613 1.304
Nd La Gd
2 1 1
Direct
0.250 0.250 0.250
0.750 0.750 0.750
0.500 0.500 0.500
0.000 0.000 0.000
```

=====

(5)
Compound: Tb2Pm3Sm3
Source: the Alexandria database
Functional: PBE
Structure: optimized geometry

Offset from the most stable computed form (meV per atom): 0
ΔE_f (kJ/mol of formula units): 21
Space group: P2_1/m (11)

Cell and atoms, written as POSCAR:
```
Tb2Pm3Sm3
1.0
-4.016 -4.897 -0.446
8.349 1.235 1.765
-3.209 1.334 14.241
Tb Pm Sm
4 6 6
Direct
0.915 0.750 0.875
0.085 0.250 0.125
0.085 0.250 0.375
0.915 0.750 0.625
0.586 0.250 0.250
0.083 0.250 0.875
0.414 0.750 0.750
0.083 0.250 0.625
0.917 0.750 0.125
0.917 0.750 0.375
0.417 0.750 0.500
0.583 0.250 0.000
0.417 0.750 0.000
0.580 0.250 0.750
0.420 0.750 0.250
0.583 0.250 0.500
```

=====

(6)
Compound: Tl3C
Source: the Alexandria database
Functional: PBE
Structure: optimized geometry

Offset from the most stable computed form (meV per atom): 611
ΔE_f (kJ/mol of formula units): 462
Space group: P6_3/mmc (194)

Cell and atoms, written as POSCAR:
```
Tl3C
1.0
8.368 0.000 0.000
-4.184 7.247 0.000
0.000 0.000 6.910
Tl C
12 4
Direct
0.000 0.500 0.500
0.000 0.500 0.000
0.500 0.500 0.500
0.500 0.000 0.000
0.873 0.127 0.250
0.255 0.127 0.250
0.500 0.000 0.500
0.127 0.873 0.750
0.745 0.873 0.750
0.127 0.255 0.750
0.873 0.745 0.250
0.500 0.500 0.000
0.667 0.333 0.750
0.000 0.000 0.000
0.000 0.000 0.500
0.333 0.667 0.250
```

=====

(7)
Compound: ZrVCdGa2
Source: the Alexandria database
Functional: PBE
Structure: optimized geometry

ΔE_f (kJ/mol of formula units): 247
Space group: P4/mmm (123)

Cell and atoms, written as POSCAR:
```
ZrVCdGa2
1.0
-0.724 -1.402 4.380
0.693 -4.694 -1.388
4.553 0.410 0.884
Zr V Ga Cd
1 1 2 1
Direct
0.500 0.500 0.500
0.000 0.000 0.000
0.500 0.000 0.000
0.000 0.000 0.500
0.000 0.500 0.000
```

=====

(8)
Compound: ScNb2Ru
Source: the Alexandria database
Functional: PBE
Structure: optimized geometry

Offset from the most stable computed form (meV per atom): 264
ΔE_f (kJ/mol of formula units): 94
Space group: I-42d (122)

Cell and atoms, written as POSCAR:
```
ScNb2Ru
1.0
-0.723 -3.894 -6.439
6.550 -3.509 1.386
1.572 -5.674 -1.182
Nb Ru Sc
4 2 2
Direct
0.375 0.329 0.750
0.671 0.125 0.250
0.079 0.625 0.250
0.875 0.921 0.750
0.000 0.000 0.000
0.750 0.250 0.500
0.250 0.750 0.500
0.500 0.500 0.000
```

=====

(9)
Compound: Sm6YTh
Source: the Alexandria database
Functional: PBE
Structure: optimized geometry

Offset from the most stable computed form (meV per atom): 162
ΔE_f (kJ/mol of formula units): 154
Space group: P-1 (2)

Cell and atoms, written as POSCAR:
```
Sm6YTh
1.0
6.264 -0.117 2.354
0.275 6.677 0.108
1.041 -0.160 6.774
Sm Th Y
6 1 1
Direct
0.469 0.244 0.003
0.077 0.749 0.495
0.923 0.251 0.505
0.531 0.756 0.997
0.427 0.248 0.500
0.573 0.752 0.500
0.000 0.000 0.000
0.000 0.500 0.000
```

=====

(10)
Compound: RbIBr
Source: the Alexandria database
Functional: PBE
Structure: optimized geometry

Offset from the most stable computed form (meV per atom): 0
Energy relative to the elements, uncorrected (eV per atom): -1.151
Space group: C2/m (12)

Cell and atoms, written as POSCAR:
```
RbIBr
1.0
6.628 0.000 0.000
-3.314 4.426 0.757
0.000 -1.179 9.690
Br Rb I
2 2 2
Direct
0.825 0.649 0.844
0.175 0.351 0.156
0.790 0.580 0.200
0.210 0.420 0.800
0.604 0.208 0.606
0.396 0.792 0.394
```

=====

(11)
Compound: Tm4CuTe3
Source: the Alexandria database
Functional: PBE
Structure: optimized geometry

Energy relative to the elements, uncorrected (eV per atom): -0.957
Space group: Cmmm (65)

Cell and atoms, written as POSCAR:
```
Tm4CuTe3
1.0
4.092 0.000 0.000
0.000 7.107 -2.320
0.000 0.039 7.476
Tm Te Cu
4 3 1
Direct
0.500 0.768 0.232
0.500 0.232 0.768
0.000 0.217 0.217
0.000 0.783 0.783
0.000 0.000 0.500
0.000 0.500 0.000
0.500 0.500 0.500
0.500 0.000 0.000
```

=====

(12)
Compound: MnCo2As
Source: the Alexandria database
Functional: PBE
Structure: optimized geometry

ΔE_f (kJ/mol of formula units): 93
Space group: R3m (160)

Cell and atoms, written as POSCAR:
```
MnCo2As
1.0
7.879 -0.020 -0.012
7.410 2.678 -0.012
7.410 1.288 2.348
Mn Co As
1 2 1
Direct
0.501 0.501 0.501
0.999 0.999 0.999
0.251 0.251 0.251
0.749 0.749 0.749
```